The following is a SCAN calculation of a PBEsol-optimized structure of Ir5Ru, from the Alexandria database.

Cell lengths 2.720, 5.143, 6.417 Å; angles 104.02, 90.00, 105.33 degrees
Fractional positions:
Ir (0.057, 0.115, 0.615)
Ir (0.387, 0.774, 0.274)
Ir (0.333, 0.665, 0.668)
Ir (0.667, 0.333, 0.332)
Ir (0.001, 0.001, 0.999)
Ru (0.722, 0.444, 0.945)

Results
- Formation energy from the elements: 0.2 eV/f.u.

The following is a SCAN calculation of a PBEsol-optimized structure of Ir2Ru, from the Alexandria database.

Cell lengths 2.713, 5.109, 6.400 Å; angles 103.60, 90.00, 105.40 degrees
Fractional positions:
Ru (0.695, 0.389, 0.637)
Ru (0.305, 0.611, 0.363)
Ir (0.360, 0.719, 0.970)
Ir (0.029, 0.059, 0.310)
Ir (0.971, 0.941, 0.690)
Ir (0.640, 0.281, 0.030)

Results
- Formation energy from the elements: 0.0 eV/f.u.

The following is a SCAN calculation of a PBEsol-optimized structure of Ir2Ru, from the Alexandria database.

Cell lengths 4.324, 4.704, 4.704 Å; angles 60.01, 90.00, 90.00 degrees
Fractional positions:
Ir (0.250, 0.499, 0.833)
Ir (0.750, 0.501, 0.167)
Ir (0.250, 0.167, 0.501)
Ir (0.750, 0.833, 0.499)
Ru (0.250, 0.834, 0.166)
Ru (0.750, 0.166, 0.834)

Results
- Formation energy from the elements: -0.1 eV/f.u.

The following is a SCAN calculation of a PBEsol-optimized structure of Ir5Ru, from the Alexandria database.

Cell lengths 2.700, 2.700, 11.479 Å; angles 90.00, 90.00, 90.00 degrees
Fractional positions:
Ir (0.500, 0.500, 0.333)
Ir (0.000, 0.000, 0.164)
Ir (0.500, 0.500, 0.667)
Ir (0.000, 0.000, 0.836)
Ir (0.000, 0.000, 0.500)
Ru (0.500, 0.500, 0.000)

Results
- Formation energy from the elements: -0.1 eV/f.u.

The following is a SCAN calculation of a PBEsol-optimized structure of Ir4Ru5, from the Alexandria database.

Cell lengths 3.792, 5.997, 5.997 Å; angles 84.26, 71.57, 71.57 degrees
Fractional positions:
Ru (0.334, 0.000, 0.331)
Ru (0.334, 0.331, 0.000)
Ru (0.666, 0.000, 0.669)
Ru (0.666, 0.669, 0.000)
Ru (0.000, 0.000, 0.000)
Ir (0.000, 0.670, 0.330)
Ir (0.330, 0.670, 0.670)
Ir (0.000, 0.330, 0.670)
Ir (0.670, 0.330, 0.330)

Results
- Formation energy from the elements: -0.3 eV/f.u.

The following is a SCAN calculation of a PBEsol-optimized structure of Ir3Ru5, from the Alexandria database.

Cell lengths 3.779, 5.363, 5.363 Å; angles 90.05, 90.00, 90.00 degrees
Fractional positions:
Ru (0.000, 0.500, 0.000)
Ru (0.500, 0.752, 0.248)
Ru (0.500, 0.248, 0.752)
Ru (0.000, 0.000, 0.000)
Ru (0.000, 0.000, 0.500)
Ir (0.500, 0.751, 0.751)
Ir (0.000, 0.500, 0.500)
Ir (0.500, 0.249, 0.249)

Results
- Formation energy from the elements: -0.2 eV/f.u.

The following is a SCAN calculation of a PBEsol-optimized structure of Ir2Ru, from the Alexandria database.

Cell lengths 2.713, 5.112, 6.394 Å; angles 103.63, 90.00, 105.39 degrees
Fractional positions:
Ru (0.720, 0.441, 0.942)
Ru (0.057, 0.114, 0.614)
Ir (0.666, 0.332, 0.335)
Ir (0.389, 0.778, 0.277)
Ir (0.333, 0.667, 0.668)
Ir (0.001, 0.001, 0.998)

Results
- Formation energy from the elements: 0.0 eV/f.u.

The following is a SCAN calculation of a PBEsol-optimized structure of IrRu8, from the Alexandria database.

Cell lengths 3.771, 5.963, 5.963 Å; angles 84.26, 71.56, 71.56 degrees
Fractional positions:
Ru (0.668, 0.000, 0.665)
Ru (0.668, 0.665, 0.000)
Ru (0.332, 0.335, 0.000)
Ru (0.000, 0.334, 0.666)
Ru (0.334, 0.666, 0.666)
Ru (0.332, 0.000, 0.335)
Ru (0.666, 0.334, 0.334)
Ru (0.000, 0.666, 0.334)
Ir (0.000, 0.000, 0.000)

Results
- Formation energy from the elements: 0.7 eV/f.u.

The following is a SCAN calculation of a PBEsol-optimized structure of Ir2Ru, from the Alexandria database.

Cell lengths 3.806, 5.383, 8.082 Å; angles 90.00, 90.00, 90.00 degrees
Fractional positions:
Ir (0.750, 0.373, 0.084)
Ir (0.250, 0.125, 0.247)
Ir (0.750, 0.375, 0.747)
Ir (0.250, 0.625, 0.253)
Ir (0.750, 0.873, 0.416)
Ir (0.250, 0.627, 0.916)
Ir (0.750, 0.875, 0.753)
Ir (0.250, 0.127, 0.584)
Ru (0.250, 0.622, 0.581)
Ru (0.750, 0.378, 0.419)
Ru (0.750, 0.878, 0.081)
Ru (0.250, 0.122, 0.919)

Results
- Formation energy from the elements: -0.2 eV/f.u.

The following is a SCAN calculation of a PBEsol-optimized structure of Ir2Ru, from the Alexandria database.

Cell lengths 2.691, 2.691, 6.022 Å; angles 102.91, 102.91, 90.00 degrees
Fractional positions:
Ir (0.336, 0.336, 0.672)
Ir (0.664, 0.664, 0.328)
Ru (0.000, 0.000, 0.000)

Results
- Formation energy from the elements: -0.2 eV/f.u.

The following is a SCAN calculation of a PBEsol-optimized structure of SbIr2Ru, from the Alexandria database.

Cell lengths 2.849, 4.444, 4.847 Å; angles 90.00, 90.00, 90.00 degrees
Fractional positions:
Ir (0.000, 0.000, 0.029)
Ir (0.000, 0.500, 0.698)
Ru (0.500, 0.000, 0.559)
Sb (0.500, 0.500, 0.213)

Results
- Formation energy (no corrections): 0.2691 eV per atom

The following is a SCAN calculation of a PBEsol-optimized structure of SbIr2Ru, from the Alexandria database.

Cell lengths 4.003, 4.003, 4.721 Å; angles 115.09, 115.09, 90.00 degrees
Fractional positions:
Ru (0.500, 0.500, 0.000)
Ir (0.250, 0.750, 0.500)
Ir (0.000, 0.000, 0.000)
Sb (0.750, 0.250, 0.500)

Results
- Formation energy (no corrections): 0.1890 eV per atom

The following is a SCAN calculation of a PBEsol-optimized structure of SbIrRu2, from the Alexandria database.

Cell lengths 2.876, 4.725, 4.733 Å; angles 99.87, 107.69, 90.00 degrees
Fractional positions:
Ru (0.998, 0.996, 0.996)
Ru (0.254, 0.769, 0.508)
Sb (0.501, 0.502, 0.003)
Ir (0.746, 0.233, 0.492)

Results
- Formation energy (no corrections): 0.1795 eV per atom

The following is a SCAN calculation of a PBEsol-optimized structure of SbIr2Ru, from the Alexandria database.

Cell lengths 2.872, 4.600, 5.417 Å; angles 115.13, 105.37, 90.00 degrees
Each line ends with the local moment (μB).
Fractional positions:
Sb (0.000, 0.500, 0.000)  0.00
Ir (0.260, 0.260, 0.520)  0.21
Ir (0.740, 0.740, 0.480)  0.21
Ru (0.500, 0.000, 0.000)  1.00

Results
- Formation energy (no corrections): 0.3715 eV per atom

The following is a SCAN calculation of a PBEsol-optimized structure of SbIr2Ru, from the Alexandria database.

Cell lengths 2.889, 4.731, 4.766 Å; angles 99.27, 107.64, 90.00 degrees
Fractional positions:
Ir (0.245, 0.234, 0.490)
Ir (0.755, 0.766, 0.510)
Ru (0.500, 0.000, 0.000)
Sb (0.000, 0.500, 0.000)

Results
- Formation energy (no corrections): 0.2187 eV per atom

The following is a SCAN calculation of a PBEsol-optimized structure of SbIr2Ru, from the Alexandria database.

Cell lengths 2.894, 2.894, 7.380 Å; angles 90.00, 90.00, 90.00 degrees
Fractional positions:
Ir (0.500, 0.500, 0.258)
Ir (0.000, 0.000, 0.007)
Sb (0.500, 0.500, 0.747)
Ru (0.000, 0.000, 0.488)

Results
- Formation energy (no corrections): 0.3902 eV per atom

The following is a SCAN calculation of a PBEsol-optimized structure of SbTe2IrRu, from the Alexandria database.

Cell lengths 4.925, 5.155, 5.155 Å; angles 90.00, 90.00, 90.00 degrees
Each line ends with the local moment (μB).
Fractional positions:
Sb (0.500, 0.000, 0.000)  -0.02
Ir (0.000, 0.000, 0.000)  -0.11
Ru (0.500, 0.500, 0.500)  2.52
Te (0.000, 0.500, 0.000)  -0.13
Te (0.000, 0.000, 0.500)  -0.13

Results
- Formation energy (no corrections): 1.1372 eV per atom

The following is a SCAN calculation of a PBEsol-optimized structure of Sc2IrRu, from the Alexandria database.

Cell lengths 3.172, 3.172, 6.367 Å; angles 90.00, 90.00, 90.00 degrees
Fractional positions:
Sc (0.000, 0.000, 0.754)
Sc (0.000, 0.000, 0.246)
Ir (0.500, 0.500, 0.500)
Ru (0.500, 0.500, 0.000)

Results
- Formation energy from the elements: -3.9 eV/f.u.

The following is a SCAN calculation of a PBEsol-optimized structure of Sc2IrRu, from the Alexandria database.

Cell lengths 3.772, 3.772, 5.311 Å; angles 110.80, 110.80, 90.00 degrees
Fractional positions:
Ru (0.250, 0.750, 0.500)
Sc (0.000, 0.000, 0.000)
Sc (0.750, 0.250, 0.500)
Ir (0.500, 0.500, 0.000)

Results
- Formation energy from the elements: -2.5 eV/f.u.

The following is a SCAN calculation of a PBEsol-optimized structure of Sc2IrRu, from the Alexandria database.

Cell lengths 4.486, 4.486, 4.486 Å; angles 60.00, 60.00, 60.00 degrees
Fractional positions:
Ir (0.500, 0.500, 0.500)
Ru (0.000, 0.000, 0.000)
Sc (0.750, 0.750, 0.750)
Sc (0.250, 0.250, 0.250)

Results
- Formation energy from the elements: -4.0 eV/f.u.

The following is a SCAN calculation of a PBEsol-optimized structure of IrRu2Se, from the Alexandria database.

Cell lengths 2.793, 2.793, 8.571 Å; angles 80.62, 80.62, 60.00 degrees
Fractional positions:
Ir (0.250, 0.250, 0.249)
Ru (0.752, 0.752, 0.745)
Ru (0.002, 0.002, 0.995)
Se (0.496, 0.496, 0.511)

Results
- Formation energy (no corrections): 0.3396 eV per atom

The following is a SCAN calculation of a PBEsol-optimized structure of IrRu2Se, from the Alexandria database.

Cell lengths 2.720, 2.720, 9.174 Å; angles 90.00, 90.00, 119.70 degrees
Each line ends with the local moment (μB).
Fractional positions:
Se (0.000, 0.000, 0.511)  0.01
Ir (0.500, 0.500, 0.239)  0.14
Ru (0.000, 0.000, 0.995)  0.93
Ru (0.500, 0.500, 0.755)  0.66

Results
- Formation energy (no corrections): 0.6446 eV per atom

The following is a SCAN calculation of a PBEsol-optimized structure of IrRu2Se, from the Alexandria database.

Cell lengths 2.799, 4.518, 4.518 Å; angles 90.00, 90.00, 90.00 degrees
Each line ends with the local moment (μB).
Fractional positions:
Ru (0.000, 0.000, 0.500)  0.73
Ru (0.000, 0.500, 0.000)  0.73
Ir (0.500, 0.000, 0.000)  0.22
Se (0.500, 0.500, 0.500)  0.01

Results
- Formation energy (no corrections): 0.4476 eV per atom

The following is a SCAN calculation of a PBEsol-optimized structure of IrRu2Se, from the Alexandria database.

Cell lengths 2.815, 3.896, 5.399 Å; angles 90.00, 105.11, 90.00 degrees
Fractional positions:
Ru (0.931, 0.000, 0.862)
Ru (0.307, 0.500, 0.615)
Se (0.704, 0.000, 0.407)
Ir (0.555, 0.500, 0.110)

Results
- Formation energy (no corrections): 0.3033 eV per atom

The following is a SCAN calculation of a PBEsol-optimized structure of SiIrRu2, from the Alexandria database.

Cell lengths 3.751, 3.762, 3.762 Å; angles 90.00, 90.00, 90.00 degrees
Fractional positions:
Ru (0.000, 0.500, 0.000)
Ru (0.000, 0.000, 0.500)
Si (0.500, 0.500, 0.500)
Ir (0.500, 0.000, 0.000)

Results
- Formation energy (no corrections): -0.0491 eV per atom

The following is a SCAN calculation of a PBEsol-optimized structure of SiIr2Ru, from the Alexandria database.

Cell lengths 4.270, 4.270, 4.270 Å; angles 60.00, 60.00, 60.00 degrees
Each line ends with the local moment (μB).
Fractional positions:
Ir (0.000, 0.000, 0.000)  0.28
Ir (0.750, 0.750, 0.750)  0.32
Si (0.250, 0.250, 0.250)  0.00
Ru (0.500, 0.500, 0.500)  1.06

Results
- Formation energy (no corrections): 0.1059 eV per atom

The following is a SCAN calculation of a PBEsol-optimized structure of SiIrRu2, from the Alexandria database.

Cell lengths 2.799, 2.799, 6.641 Å; angles 90.00, 90.00, 90.00 degrees
Fractional positions:
Ru (0.000, 0.000, 0.218)
Ru (0.000, 0.000, 0.782)
Ir (0.500, 0.500, 0.500)
Si (0.500, 0.500, 0.000)

Results
- Formation energy (no corrections): -0.3330 eV per atom

The following is a SCAN calculation of a PBEsol-optimized structure of SiIrRu2, from the Alexandria database.

Cell lengths 4.243, 4.243, 4.243 Å; angles 60.00, 60.00, 60.00 degrees
Each line ends with the local moment (μB).
Fractional positions:
Si (0.250, 0.250, 0.250)  0.02
Ir (0.500, 0.500, 0.500)  0.49
Ru (0.750, 0.750, 0.750)  1.43
Ru (0.000, 0.000, 0.000)  0.95

Results
- Formation energy (no corrections): 0.0464 eV per atom

The following is a SCAN calculation of a PBEsol-optimized structure of SiIrRu2, from the Alexandria database.

Cell lengths 2.793, 2.793, 6.709 Å; angles 90.00, 90.00, 90.00 degrees
Fractional positions:
Ru (0.000, 0.000, 0.009)
Ru (0.500, 0.500, 0.278)
Si (0.000, 0.000, 0.497)
Ir (0.500, 0.500, 0.717)

Results
- Formation energy (no corrections): -0.3045 eV per atom